Entry from Alexandria: BaPuAu2 after structural relaxation (PBE).

Output
Formation enthalpy at 0 K ... -0.52 eV/atom
Density of states at the Fermi level ... 12.8 states/eV/cell
Crystal system ... tetragonal

Lattice parameters (Å, degrees): 3.8250 3.8250 7.7251 90.00 90.00 90.00
With the nearest neighbours (Å) after each atom.
Atoms (fractional coordinates):
1 Pu 0.5000 0.5000 0.0000  8 Au 3.14
2 Au 0.0000 0.0000 0.7935  4 Pu 3.14, 1 Au 3.19
3 Au 0.0000 0.0000 0.2065  4 Pu 3.14, 1 Au 3.19
4 Ba 0.5000 0.5000 0.5000  8 Au 3.53, 4 Ba 3.82, 2 Pu 3.86

---

Entry from Alexandria: BaPuAu2 after structural relaxation (PBE).

Output
Formation enthalpy at 0 K ... -0.42 eV/atom
Density of states at the Fermi level ... 15.5 states/eV/cell
Crystal system ... trigonal

Lattice parameters (Å, degrees): 5.0797 5.0797 6.1951 65.80 65.80 60.00
With the nearest neighbours (Å) after each atom.
Atoms (fractional coordinates):
1 Pu 0.5000 0.5000 0.5000  6 Au 3.05
2 Au 0.2186 0.2186 0.3441  3 Pu 3.05, 3 Au 3.39
3 Ba 0.0000 0.0000 0.0000  8 Au 3.48-3.58
4 Au 0.7814 0.7814 0.6559  3 Pu 3.05, 3 Au 3.39

---

Entry from Alexandria: Ba2PuAuS5 after structural relaxation (PBE).

Output
Density of states at the Fermi level ... 16.3 states/eV/cell
Formation energy without anion corrections ... -1394 meV/atom
Crystal system ... orthorhombic

Lattice parameters (Å, degrees): 4.1124 9.3478 12.8033 90.00 90.00 102.71
With the nearest neighbours (Å) after each atom.
Atoms (fractional coordinates):
1 S 0.6989 0.3978 0.8766  2 Pu 2.72, 1 Au 2.81
2 S 0.6565 0.3131 0.5098  1 Pu 2.62
3 S 0.0563 0.1125 0.0452  2 Au 2.46, 1 Pu 2.65
4 Ba 0.1232 0.2465 0.3227  7 S 3.11-3.34
5 Ba 0.8768 0.7535 0.8227  7 S 3.11-3.34
6 Au 0.4486 0.8973 0.4396  3 S 2.41-2.46
7 Ba 0.8819 0.7639 0.1933  7 S 3.14-3.45
8 S 0.5011 0.0022 0.2671  1 Au 2.41
9 Ba 0.1181 0.2361 0.6933  7 S 3.14-3.45
10 Pu 0.1999 0.3998 0.0161  6 S 2.62-2.72
11 Au 0.5514 0.1027 0.9396  3 S 2.41-2.46
12 S 0.2948 0.5896 0.6536  2 Pu 2.71
13 Pu 0.8001 0.6002 0.5161  6 S 2.62-2.72
14 S 0.3435 0.6869 0.0098  1 Pu 2.62
15 S 0.4989 0.9978 0.7671  1 Au 2.41
16 S 0.9437 0.8875 0.5452  2 Au 2.46, 1 Pu 2.65
17 S 0.7052 0.4104 0.1536  2 Pu 2.71
18 S 0.3011 0.6022 0.3766  2 Pu 2.72, 1 Au 2.81

---

Entry from Alexandria: Ba2PuSb4Au3 after structural relaxation (PBE).

Output
Density of states at the Fermi level ... 18.9 states/eV/cell
Formation energy without anion corrections ... -606 meV/atom
Crystal system ... tetragonal

Lattice parameters (Å, degrees): 4.9498 4.9498 12.0353 90.00 90.00 90.00
With the nearest neighbours (Å) after each atom.
Atoms (fractional coordinates):
1 Pu 0.5000 0.5000 0.5000  4 Sb 3.05
2 Sb 0.0000 0.0000 0.0000  4 Au 2.87
3 Au 0.0000 0.5000 0.1208  5 Sb 2.77-2.87
4 Sb 0.0000 0.5000 0.3513  3 Au 2.77-3.05, 2 Pu 3.05
5 Au 0.0000 0.0000 0.5000  4 Sb 3.05
6 Au 0.5000 0.0000 0.8792  5 Sb 2.77-2.87
7 Sb 0.5000 0.0000 0.6487  3 Au 2.77-3.05, 2 Pu 3.05
8 Ba 0.5000 0.0000 0.2324  8 Sb 3.73-3.78, 6 Au 3.75-4.06, 2 Pu 4.06
9 Sb 0.5000 0.5000 0.0000  4 Au 2.87
10 Ba 0.0000 0.5000 0.7676  8 Sb 3.73-3.78, 6 Au 3.75-4.06, 2 Pu 4.06

---

Entry from Alexandria: Ba2PuAu2Se6 after structural relaxation (PBE).

Output
Density of states at the Fermi level ... 9.7 states/eV/cell
Formation energy without anion corrections ... -1008 meV/atom
Crystal system ... monoclinic

Lattice parameters (Å, degrees): 6.2420 7.7740 8.7962 117.73 90.00 113.67
With the nearest neighbours (Å) after each atom.
Atoms (fractional coordinates):
1 Ba 0.7167 0.4334 0.2186  7 Se 3.33-3.49
2 Au 0.0814 0.1628 0.2643  3 Se 2.46-2.55
3 Se 0.2808 0.5616 0.4007  1 Au 2.46
4 Pu 0.5000 0.0000 0.5000  6 Se 2.78-2.88
5 Se 0.6679 0.8450 0.1811  1 Au 2.55
6 Ba 0.2833 0.5666 0.7814  7 Se 3.33-3.49
7 Se 0.1771 0.8450 0.1811  1 Au 2.55
8 Se 0.3321 0.1550 0.8189  1 Au 2.55
9 Se 0.7192 0.4384 0.5993  1 Au 2.46
10 Se 0.8229 0.1550 0.8189  1 Au 2.55
11 Au 0.9186 0.8372 0.7357  3 Se 2.46-2.55

---

Entry from Alexandria: BaPuAuSe3 after structural relaxation (PBE).

Output
Density of states at the Fermi level ... 23.1 states/eV/cell
Formation energy without anion corrections ... -1307 meV/atom
Crystal system ... monoclinic

Lattice parameters (Å, degrees): 4.2863 8.7400 9.5504 105.78 90.00 90.00
With the nearest neighbours (Å) after each atom.
Atoms (fractional coordinates):
1 Se 0.7500 0.4463 0.1553  3 Pu 2.91-2.92
2 Pu 0.2500 0.6750 0.1598  6 Se 2.90-2.94
3 Pu 0.7500 0.3250 0.8402  6 Se 2.90-2.94
4 Se 0.7500 0.2580 0.5260  3 Au 2.70-3.02, 1 Pu 2.90
5 Se 0.2500 0.7420 0.4740  3 Au 2.70-3.02, 1 Pu 2.90
6 Au 0.2500 0.0997 0.5859  3 Se 2.68-2.70, 2 Au 2.96
7 Se 0.2500 0.5537 0.8447  3 Pu 2.91-2.92
8 Au 0.7500 0.9003 0.4141  3 Se 2.68-2.70, 2 Au 2.96
9 Se 0.2500 0.1045 0.8676  1 Au 2.68, 2 Pu 2.94
10 Se 0.7500 0.8955 0.1324  1 Au 2.68, 2 Pu 2.94
11 Ba 0.7500 0.8016 0.7548  7 Se 3.32-3.47, 1 Au 3.59
12 Ba 0.2500 0.1984 0.2452  7 Se 3.32-3.47, 1 Au 3.59

---

Entry from Alexandria: BaPuSn2Au2 after structural relaxation (PBE).

Output
Formation enthalpy at 0 K ... -0.58 eV/atom
Density of states at the Fermi level ... 14.4 states/eV/cell
Crystal system ... trigonal

Lattice parameters (Å, degrees): 4.8759 4.8759 8.1678 90.00 90.00 120.00
With the nearest neighbours (Å) after each atom.
Atoms (fractional coordinates):
1 Pu 0.0000 0.0000 0.5000  6 Au 3.23, 6 Sn 3.27
2 Sn 0.6667 0.3333 0.2973  3 Au 2.82
3 Au 0.6667 0.3333 0.6946  3 Sn 2.82
4 Au 0.3333 0.6667 0.3054  3 Sn 2.82
5 Ba 0.0000 0.0000 0.0000  6 Sn 3.72, 6 Au 3.76, 2 Pu 4.08
6 Sn 0.3333 0.6667 0.7027  3 Au 2.82

---

Entry from Alexandria: Ba2PuTe6Au2 after structural relaxation (PBE).

Output
Density of states at the Fermi level ... 11.9 states/eV/cell
Formation energy without anion corrections ... -802 meV/atom
Crystal system ... monoclinic

Lattice parameters (Å, degrees): 6.6470 8.2901 9.3836 117.64 90.00 113.63
With the nearest neighbours (Å) after each atom.
Atoms (fractional coordinates):
1 Ba 0.7162 0.4323 0.2228  7 Te 3.52-3.77
2 Te 0.6678 0.8422 0.1736  1 Au 2.72
3 Te 0.7223 0.4446 0.6026  1 Au 2.62
4 Te 0.2777 0.5554 0.3974  1 Au 2.62
5 Pu 0.5000 0.0000 0.5000  6 Te 3.01-3.13
6 Te 0.3322 0.1578 0.8264  1 Au 2.72
7 Te 0.8256 0.1578 0.8264  1 Au 2.72
8 Au 0.0780 0.1560 0.2399  3 Te 2.62-2.72
9 Au 0.9220 0.8440 0.7601  3 Te 2.62-2.72
10 Ba 0.2838 0.5677 0.7772  7 Te 3.52-3.77
11 Te 0.1744 0.8422 0.1736  1 Au 2.72

---

Entry from Alexandria: BaPuZn2Au5 after structural relaxation (PBE).

Output
Formation enthalpy at 0 K ... -0.33 eV/atom
Density of states at the Fermi level ... 19.3 states/eV/cell
Crystal system ... tetragonal

Lattice parameters (Å, degrees): 5.0066 5.0066 8.3608 90.00 90.00 90.00
With the nearest neighbours (Å) after each atom.
Atoms (fractional coordinates):
1 Zn 0.5000 0.5000 0.8425  5 Au 2.57-2.86, 1 Zn 2.63
2 Ba 0.0000 0.0000 0.5000  12 Au 3.38-3.54
3 Pu 0.0000 0.0000 0.0000  8 Au 3.15
4 Au 0.5000 0.0000 0.2280  2 Zn 2.57
5 Au 0.0000 0.5000 0.7720  2 Zn 2.57
6 Zn 0.5000 0.5000 0.1575  5 Au 2.57-2.86, 1 Zn 2.63
7 Au 0.0000 0.5000 0.2280  2 Zn 2.57
8 Au 0.5000 0.0000 0.7720  2 Zn 2.57
9 Au 0.5000 0.5000 0.5000  2 Zn 2.86

---

Entry from Alexandria: RbBa2Au after structural relaxation (PBE).

Output
Formation enthalpy at 0 K ... -0.32 eV/atom
Density of states at the Fermi level ... 4.1 states/eV/cell
Crystal system ... tetragonal

Lattice parameters (Å, degrees): 4.1673 4.1673 11.6331 90.00 90.00 90.00
With the nearest neighbours (Å) after each atom.
Atoms (fractional coordinates):
1 Ba 0.0000 0.0000 0.1613  4 Au 3.49, 1 Ba 3.75
2 Ba 0.0000 0.0000 0.8387  4 Au 3.49, 1 Ba 3.75
3 Au 0.5000 0.5000 0.0000  8 Ba 3.49
4 Rb 0.5000 0.5000 0.5000  4 Rb 4.17

---

Entry from Alexandria: Rb2BaAu2 after structural relaxation (PBE).

Output
Formation enthalpy at 0 K ... -0.26 eV/atom
Density of states at the Fermi level ... 1.8 states/eV/cell
Crystal system ... tetragonal

Lattice parameters (Å, degrees): 4.9995 4.9995 8.5905 73.08 73.08 90.00
With the nearest neighbours (Å) after each atom.
Atoms (fractional coordinates):
1 Rb 0.2500 0.7500 0.5000  4 Rb 3.54, 4 Au 3.56
2 Rb 0.7500 0.2500 0.5000  4 Rb 3.54, 4 Au 3.56
3 Ba 0.0000 0.0000 0.0000  8 Au 3.80
4 Au 0.5886 0.5886 0.8229  1 Au 2.77
5 Au 0.4114 0.4114 0.1771  1 Au 2.77

---

Entry from Alexandria: Rb2BaAu4 after structural relaxation (PBE).

Output
Formation enthalpy at 0 K ... -0.47 eV/atom
Density of states at the Fermi level ... 2.6 states/eV/cell
Crystal system ... trigonal

Lattice parameters (Å, degrees): 4.8940 4.8940 13.3264 79.42 79.42 60.00
With the nearest neighbours (Å) after each atom.
Atoms (fractional coordinates):
1 Au 0.7196 0.7196 0.8413  3 Au 2.83
2 Au 0.3863 0.3863 0.8412  3 Au 2.83
3 Au 0.2804 0.2804 0.1587  3 Au 2.83
4 Ba 0.0000 0.0000 0.0000  12 Au 3.50
5 Au 0.6137 0.6137 0.1588  3 Au 2.83
6 Rb 0.8902 0.8902 0.3295  6 Au 3.60
7 Rb 0.1098 0.1098 0.6705  6 Au 3.60

---

Entry from Alexandria: RbBa2Au after structural relaxation (PBE).

Output
Formation enthalpy at 0 K ... -0.37 eV/atom
Density of states at the Fermi level ... 4.3 states/eV/cell
Crystal system ... monoclinic

Lattice parameters (Å, degrees): 4.8530 4.8474 12.0383 101.47 90.04 120.03
With the nearest neighbours (Å) after each atom.
Atoms (fractional coordinates):
1 Ba 0.8691 0.4933 0.4036  3 Au 3.30
2 Au 0.5851 0.9246 0.5522  6 Ba 3.30
3 Ba 0.3009 0.3560 0.7009  3 Au 3.30
4 Rb 0.0814 0.9250 0.0523  6 Rb 4.85, 6 Ba 4.97-4.99

---

Entry from Alexandria: RbBa2Au3 after structural relaxation (PBE).

Output
Formation enthalpy at 0 K ... -0.56 eV/atom
Density of states at the Fermi level ... 3.8 states/eV/cell
Crystal system ... tetragonal

Lattice parameters (Å, degrees): 4.1089 4.1089 12.3044 90.00 90.00 90.00
With the nearest neighbours (Å) after each atom.
Atoms (fractional coordinates):
1 Ba 0.5000 0.5000 0.1615  8 Au 3.39-3.52
2 Au 0.0000 0.0000 0.6959  4 Ba 3.39, 1 Au 3.74, 4 Rb 3.78
3 Ba 0.5000 0.5000 0.8385  8 Au 3.39-3.52
4 Rb 0.5000 0.5000 0.5000  8 Au 3.78, 4 Rb 4.11, 2 Ba 4.16
5 Au 0.0000 0.0000 0.3041  4 Ba 3.39, 1 Au 3.74, 4 Rb 3.78
6 Au 0.0000 0.0000 0.0000  8 Ba 3.52, 2 Au 3.74

---

Entry from Alexandria: RbBa3Au2 after structural relaxation (PBE).

Output
Formation enthalpy at 0 K ... -0.40 eV/atom
Density of states at the Fermi level ... 14.2 states/eV/cell
Crystal system ... orthorhombic

Lattice parameters (Å, degrees): 8.8830 9.1716 8.3787 90.00 90.00 118.96
With the nearest neighbours (Å) after each atom.
Atoms (fractional coordinates):
1 Ba 0.4886 0.5194 0.2500  4 Au 3.33-3.44
2 Ba 0.0595 0.0000 0.7500  4 Au 3.35
3 Ba 0.0308 0.5194 0.7500  4 Au 3.33-3.44
4 Ba 0.9692 0.4806 0.2500  4 Au 3.33-3.44
5 Ba 0.5114 0.4806 0.7500  4 Au 3.33-3.44
6 Ba 0.9405 0.0000 0.2500  4 Au 3.35
7 Au 0.1599 0.3199 0.5000  6 Ba 3.33-3.44
8 Au 0.8401 0.6801 0.0000  6 Ba 3.33-3.44
9 Rb 0.4095 0.0000 0.2500  3 Ba 4.17-4.47, 2 Rb 4.49
10 Au 0.1599 0.3199 0.0000  6 Ba 3.33-3.44
11 Au 0.8401 0.6801 0.5000  6 Ba 3.33-3.44
12 Rb 0.5905 0.0000 0.7500  3 Ba 4.17-4.47, 2 Rb 4.49

---

Entry from Alexandria: RbBa2Au after structural relaxation (PBE).

Output
Formation enthalpy at 0 K ... -0.33 eV/atom
Density of states at the Fermi level ... 7.4 states/eV/cell
Crystal system ... hexagonal

Lattice parameters (Å, degrees): 4.7932 4.7932 25.5051 90.00 90.00 120.00
With the nearest neighbours (Å) after each atom.
Atoms (fractional coordinates):
1 Ba 0.3333 0.6667 0.0693  3 Au 3.28
2 Ba 0.6667 0.3333 0.5693  3 Au 3.28
3 Rb 0.6667 0.3333 0.7500  2 Ba 4.61, 6 Rb 4.79
4 Au 0.0000 0.0000 0.0000  6 Ba 3.28
5 Ba 0.6667 0.3333 0.9307  3 Au 3.28
6 Ba 0.3333 0.6667 0.4307  3 Au 3.28
7 Au 0.0000 0.0000 0.5000  6 Ba 3.28
8 Rb 0.3333 0.6667 0.2500  2 Ba 4.61, 6 Rb 4.79

---

Entry from Alexandria: RbBa6Au2 after structural relaxation (PBE).

Output
Formation enthalpy at 0 K ... -0.24 eV/atom
Density of states at the Fermi level ... 7.7 states/eV/cell
Crystal system ... trigonal

Lattice parameters (Å, degrees): 8.7042 8.7042 9.3321 62.20 62.20 60.00
With the nearest neighbours (Å) after each atom.
Atoms (fractional coordinates):
1 Ba 0.3289 0.8703 0.3896  2 Au 3.30
2 Au 0.2929 0.2929 0.1212  6 Ba 3.30-3.33, 1 Au 3.65
3 Ba 0.4112 0.3289 0.3896  2 Au 3.30
4 Rb 0.8719 0.8719 0.3842  3 Ba 3.99
5 Ba 0.8703 0.4112 0.3896  2 Au 3.30
6 Ba 0.6894 0.0500 0.8887  2 Au 3.33
7 Au 0.4477 0.4477 0.6569  6 Ba 3.30-3.33, 1 Au 3.65
8 Ba 0.3719 0.6894 0.8887  2 Au 3.33
9 Ba 0.0500 0.3719 0.8887  2 Au 3.33

---

Entry from Alexandria: RbBa4Au2 after structural relaxation (PBE).

Output
Formation enthalpy at 0 K ... -0.38 eV/atom
Density of states at the Fermi level ... 4.8 states/eV/cell
Crystal system ... monoclinic

Lattice parameters (Å, degrees): 4.8697 8.2493 11.8973 103.92 101.81 90.00
With the nearest neighbours (Å) after each atom.
Atoms (fractional coordinates):
1 Ba 0.6686 0.0263 0.3372  3 Au 3.29
2 Ba 0.8231 0.4614 0.6463  3 Au 3.27-3.28
3 Au 0.7526 0.7594 0.5053  6 Ba 3.27-3.29
4 Rb 0.5000 0.5000 0.0000  6 Ba 4.73-5.09, 2 Rb 4.87
5 Au 0.2474 0.2406 0.4947  6 Ba 3.27-3.29
6 Ba 0.3314 0.9737 0.6628  3 Au 3.29
7 Ba 0.1769 0.5386 0.3537  3 Au 3.27-3.28

---

Entry from Alexandria: RbBaAu after structural relaxation (PBE).

Output
Formation enthalpy at 0 K ... -0.31 eV/atom
Density of states at the Fermi level ... 0.3 states/eV/cell
Crystal system ... cubic

Lattice parameters (Å, degrees): 5.7554 5.7554 5.7554 60.00 60.00 60.00
With the nearest neighbours (Å) after each atom.
Atoms (fractional coordinates):
1 Ba 0.0000 0.0000 0.0000  4 Au 3.52
2 Rb 0.5000 0.5000 0.5000  4 Au 3.52
3 Au 0.2500 0.2500 0.2500  4 Ba 3.52, 4 Rb 3.52

---

Entry from Alexandria: RbBaAu after structural relaxation (PBE).

Output
Formation enthalpy at 0 K ... -0.34 eV/atom
Density of states at the Fermi level ... 1.4 states/eV/cell
Crystal system ... trigonal

Lattice parameters (Å, degrees): 4.7972 4.7972 8.0416 90.00 90.00 120.00
With the nearest neighbours (Å) after each atom.
Atoms (fractional coordinates):
1 Au 0.6667 0.3333 0.3540  3 Ba 3.25, 3 Rb 3.53
2 Ba 0.3333 0.6667 0.5644  3 Au 3.25
3 Rb 0.0000 0.0000 0.0816  3 Au 3.53